Material: Tb3Nb2Mo3N12
Method: DFT, PBE-GGA
State: relaxed

Volume (Å³ per cell): 1045.6
Electronic total energy (eV/atom): -9.21

Unit cell a=11.075 b=11.075 c=11.075 alpha=109.47 beta=109.47 gamma=109.47
Fractional positions:
1 N 0.088 0.881 0.404
2 N 0.977 0.684 0.096
3 Tb 0.125 0.250 0.375
4 N 0.404 0.816 0.523
5 Tb 0.375 0.125 0.250
6 N 0.977 0.793 0.881
7 Tb 0.125 0.375 0.750
8 N 0.119 0.596 0.912
9 N 0.881 0.404 0.088
10 N 0.381 0.588 0.904
11 Mo 0.875 0.125 0.750
12 Nb 0.500 0.000 0.000
13 N 0.523 0.619 0.707
14 Mo 0.375 0.250 0.625
15 N 0.793 0.881 0.977
16 Tb 0.875 0.625 0.250
17 Nb 0.500 0.500 0.500
18 Mo 0.250 0.125 0.875
19 N 0.912 0.293 0.316
20 N 0.088 0.707 0.684
21 N 0.793 0.412 0.816
22 N 0.096 0.619 0.412
23 Nb 0.500 0.500 0.000
24 Tb 0.375 0.750 0.125
25 N 0.316 0.912 0.293
26 N 0.707 0.523 0.619
27 Tb 0.250 0.375 0.125
28 N 0.684 0.088 0.707
29 Mo 0.625 0.750 0.375
30 N 0.096 0.977 0.684
31 N 0.316 0.904 0.023
32 Nb 0.000 0.500 0.500
33 N 0.477 0.596 0.184
34 Tb 0.625 0.875 0.750
35 Mo 0.875 0.250 0.125
36 N 0.023 0.316 0.904
37 N 0.881 0.977 0.793
38 Mo 0.250 0.625 0.375
39 N 0.588 0.184 0.207
40 N 0.293 0.316 0.912
41 N 0.596 0.912 0.119
42 N 0.207 0.119 0.023
43 N 0.381 0.293 0.477
44 N 0.904 0.381 0.588
45 Nb 0.000 0.000 0.500
46 Mo 0.125 0.750 0.875
47 N 0.816 0.793 0.412
48 N 0.684 0.096 0.977
49 Nb 0.500 0.000 0.500
50 N 0.119 0.023 0.207
51 N 0.707 0.684 0.088
52 Tb 0.750 0.125 0.375
53 Mo 0.125 0.875 0.250
54 N 0.404 0.088 0.881
55 Mo 0.375 0.625 0.750
56 N 0.912 0.119 0.596
57 N 0.207 0.588 0.184
58 N 0.477 0.381 0.293
59 N 0.904 0.023 0.316
60 N 0.588 0.904 0.381
61 Mo 0.750 0.875 0.125
62 N 0.596 0.184 0.477
63 N 0.523 0.404 0.816
64 Tb 0.250 0.875 0.625
65 Mo 0.625 0.375 0.250
66 N 0.184 0.207 0.588
67 N 0.412 0.096 0.619
68 Nb 0.000 0.500 0.000
69 N 0.023 0.207 0.119
70 Tb 0.750 0.625 0.875
71 N 0.184 0.477 0.596
72 N 0.619 0.412 0.096
73 N 0.619 0.707 0.523
74 N 0.816 0.523 0.404
75 N 0.412 0.816 0.793
76 Nb 0.000 0.000 0.000
77 Mo 0.750 0.375 0.625
78 Tb 0.875 0.750 0.625
79 Tb 0.625 0.250 0.875
80 N 0.293 0.477 0.381